# 1
Density functional theory data (PBE) for a relaxed structure of Pr5Cd2Sn.

Structure (CIF):
```
data_Pr5Cd2Sn
_symmetry_space_group_name_H-M 'I 4/m c m'
_symmetry_Int_Tables_number 140
_symmetry_space_group_name_Hall '-I 4 2c'
_cell_length_a 8.124
_cell_length_b 8.124
_cell_length_c 15.450
_cell_angle_alpha 90.00
_cell_angle_beta 90.00
_cell_angle_gamma 90.00
loop_
_atom_site_label
_atom_site_type_symbol
_atom_site_fract_x
_atom_site_fract_y
_atom_site_fract_z
Pr1 Pr 0.000 0.000 0.000
Pr2 Pr 0.162 0.338 0.155
Cd1 Cd 0.128 0.372 0.500
Sn1 Sn 0.000 0.000 0.250
```

---

# 2
Density functional theory data (PBE) for a relaxed structure of Pr2Cd5Sn.

Structure (CIF):
```
data_Pr2Cd5Sn
_symmetry_space_group_name_H-M 'C m c m'
_symmetry_Int_Tables_number 63
_symmetry_space_group_name_Hall '-C 2c 2'
_cell_length_a 4.738
_cell_length_b 17.809
_cell_length_c 9.944
_cell_angle_alpha 90.00
_cell_angle_beta 90.00
_cell_angle_gamma 90.00
loop_
_atom_site_label
_atom_site_type_symbol
_atom_site_fract_x
_atom_site_fract_y
_atom_site_fract_z
Pr1 Pr 0.000 0.000 0.000
Pr2 Pr 0.000 0.196 0.250
Cd1 Cd 0.000 0.191 0.605
Cd2 Cd 0.000 0.352 0.529
Cd3 Cd 0.000 0.391 0.250
Sn1 Sn 0.000 0.452 0.750
```

---

# 3
Density functional theory data (PBE) for a relaxed structure of Pr3CdSn3.

Structure (CIF):
```
data_Pr3CdSn3
_symmetry_space_group_name_H-M 'C 1 2/m 1'
_symmetry_Int_Tables_number 12
_symmetry_space_group_name_Hall '-C 2y'
_cell_length_a 11.945
_cell_length_b 4.715
_cell_length_c 15.400
_cell_angle_alpha 90.00
_cell_angle_beta 108.56
_cell_angle_gamma 90.00
loop_
_atom_site_label
_atom_site_type_symbol
_atom_site_fract_x
_atom_site_fract_y
_atom_site_fract_z
Pr1 Pr 0.019 0.000 0.377
Pr2 Pr 0.103 0.000 0.922
Pr3 Pr 0.235 0.000 0.226
Cd1 Cd 0.227 0.500 0.385
Sn1 Sn 0.010 0.500 0.225
Sn2 Sn 0.121 0.500 0.075
Sn3 Sn 0.135 0.500 0.547
```

---

# 4
Density functional theory data (PBE) for a relaxed structure of Pr6Cd2Sn.

Structure (CIF):
```
data_Pr6Cd2Sn
_symmetry_space_group_name_H-M 'I m m m'
_symmetry_Int_Tables_number 71
_symmetry_space_group_name_Hall '-I 2 2'
_cell_length_a 10.384
_cell_length_b 10.499
_cell_length_c 10.758
_cell_angle_alpha 90.00
_cell_angle_beta 90.00
_cell_angle_gamma 90.00
loop_
_atom_site_label
_atom_site_type_symbol
_atom_site_fract_x
_atom_site_fract_y
_atom_site_fract_z
Pr1 Pr 0.000 0.180 0.233
Pr2 Pr 0.176 0.500 0.268
Pr3 Pr 0.246 0.302 0.000
Cd1 Cd 0.000 0.364 0.500
Cd2 Cd 0.136 0.000 0.000
Sn1 Sn 0.000 0.000 0.500
Sn2 Sn 0.000 0.500 0.000
```

---

# 5
Density functional theory data (PBE) for a relaxed structure of PrCd2Sn.

Structure (CIF):
```
data_PrCd2Sn
_symmetry_space_group_name_H-M 'P -6 m 2'
_symmetry_Int_Tables_number 187
_symmetry_space_group_name_Hall 'P -6 2'
_cell_length_a 5.1599
_cell_length_b 5.1599
_cell_length_c 5.9273
_cell_angle_alpha 90.00
_cell_angle_beta 90.00
_cell_angle_gamma 120.00
loop_
_atom_site_label
_atom_site_type_symbol
_atom_site_fract_x
_atom_site_fract_y
_atom_site_fract_z
Pr1 Pr 0.0000 0.0000 0.0000
Cd1 Cd 0.0000 0.0000 0.5000
Cd2 Cd 0.3333 0.6667 0.5000
Sn1 Sn 0.6667 0.3333 0.5000
```

---

# 6
Density functional theory data (PBE) for a relaxed structure of Pr5Cd4Sn.

Structure (CIF):
```
data_Pr5Cd4Sn
_symmetry_space_group_name_H-M 'P 4/m m m'
_symmetry_Int_Tables_number 123
_symmetry_space_group_name_Hall '-P 4 2'
_cell_length_a 3.843
_cell_length_b 3.843
_cell_length_c 19.899
_cell_angle_alpha 90.00
_cell_angle_beta 90.00
_cell_angle_gamma 90.00
loop_
_atom_site_label
_atom_site_type_symbol
_atom_site_fract_x
_atom_site_fract_y
_atom_site_fract_z
Pr1 Pr 0.000 0.000 0.000
Pr2 Pr 0.000 0.000 0.199
Pr3 Pr 0.000 0.000 0.398
Cd1 Cd 0.500 0.500 0.100
Cd2 Cd 0.500 0.500 0.295
Sn1 Sn 0.500 0.500 0.500
```

---

# 7
Density functional theory data (PBE) for a relaxed structure of Pr3Cd2Sn4.

Structure (CIF):
```
data_Pr3Cd2Sn4
_symmetry_space_group_name_H-M 'P -1'
_symmetry_Int_Tables_number 2
_symmetry_space_group_name_Hall '-P 1'
_cell_length_a 4.712
_cell_length_b 7.159
_cell_length_c 8.668
_cell_angle_alpha 110.99
_cell_angle_beta 105.74
_cell_angle_gamma 90.05
loop_
_atom_site_label
_atom_site_type_symbol
_atom_site_fract_x
_atom_site_fract_y
_atom_site_fract_z
Pr1 Pr 0.000 0.000 0.000
Pr2 Pr 0.133 0.620 0.266
Cd1 Cd 0.335 0.007 0.670
Sn1 Sn 0.214 0.250 0.428
Sn2 Sn 0.487 0.689 0.975
```

---

# 8
Density functional theory data (PBE) for a relaxed structure of PrCd2Sn.

Structure (CIF):
```
data_PrCd2Sn
_symmetry_space_group_name_H-M 'P 4/m m m'
_symmetry_Int_Tables_number 123
_symmetry_space_group_name_Hall '-P 4 2'
_cell_length_a 4.592
_cell_length_b 4.592
_cell_length_c 4.912
_cell_angle_alpha 90.00
_cell_angle_beta 90.00
_cell_angle_gamma 90.00
loop_
_atom_site_label
_atom_site_type_symbol
_atom_site_fract_x
_atom_site_fract_y
_atom_site_fract_z
Pr1 Pr 0.000 0.000 0.000
Cd1 Cd 0.000 0.500 0.500
Sn1 Sn 0.500 0.500 0.000
```

---

# 9
Density functional theory data (PBE) for a relaxed structure of Pr6CdSn3.

Structure (CIF):
```
data_Pr6CdSn3
_symmetry_space_group_name_H-M 'C m c 21'
_symmetry_Int_Tables_number 36
_symmetry_space_group_name_Hall 'C 2c -2'
_cell_length_a 11.296
_cell_length_b 15.784
_cell_length_c 7.510
_cell_angle_alpha 90.00
_cell_angle_beta 90.00
_cell_angle_gamma 90.00
loop_
_atom_site_label
_atom_site_type_symbol
_atom_site_fract_x
_atom_site_fract_y
_atom_site_fract_z
Pr1 Pr 0.000 0.041 0.000
Pr2 Pr 0.000 0.288 0.096
Pr3 Pr 0.205 0.298 0.528
Pr4 Pr 0.214 0.460 0.174
Cd1 Cd 0.000 0.170 0.687
Sn1 Sn 0.000 0.439 0.453
Sn2 Sn 0.139 0.124 0.337
```

---

# 10
Density functional theory data (PBE) for a relaxed structure of SrPr2Cd2Sn2.

Structure (CIF):
```
data_SrPr2Cd2Sn2
_symmetry_space_group_name_H-M 'R -3 m'
_symmetry_Int_Tables_number 166
_symmetry_space_group_name_Hall '-R 3 2"'
_cell_length_a 5.0615
_cell_length_b 5.0615
_cell_length_c 29.1760
_cell_angle_alpha 90.00
_cell_angle_beta 90.00
_cell_angle_gamma 120.00
loop_
_atom_site_label
_atom_site_type_symbol
_atom_site_fract_x
_atom_site_fract_y
_atom_site_fract_z
Sr1 Sr 0.0000 0.0000 0.0000
Pr1 Pr 0.0000 0.0000 0.1324
Cd1 Cd 0.0000 0.0000 0.4190
Sn1 Sn 0.0000 0.0000 0.2594
```

---

# 11
Density functional theory data (PBE) for a relaxed structure of TbPrCdSn.

Structure (CIF):
```
data_TbPrCdSn
_symmetry_space_group_name_H-M 'F -4 3 m'
_symmetry_Int_Tables_number 216
_symmetry_space_group_name_Hall 'F -4 2 3'
_cell_length_a 7.630
_cell_length_b 7.630
_cell_length_c 7.630
_cell_angle_alpha 90.00
_cell_angle_beta 90.00
_cell_angle_gamma 90.00
loop_
_atom_site_label
_atom_site_type_symbol
_atom_site_fract_x
_atom_site_fract_y
_atom_site_fract_z
Tb1 Tb 0.000 0.000 0.000
Pr1 Pr 0.000 0.000 0.500
Cd1 Cd 0.250 0.250 0.250
Sn1 Sn 0.250 0.250 0.750
```

---

# 12
Density functional theory data (PBE) for a relaxed structure of TbPr2Cd2Sn2.

Structure (CIF):
```
data_TbPr2Cd2Sn2
_symmetry_space_group_name_H-M 'R -3 m'
_symmetry_Int_Tables_number 166
_symmetry_space_group_name_Hall '-R 3 2"'
_cell_length_a 5.0049
_cell_length_b 5.0049
_cell_length_c 27.3443
_cell_angle_alpha 90.00
_cell_angle_beta 90.00
_cell_angle_gamma 120.00
loop_
_atom_site_label
_atom_site_type_symbol
_atom_site_fract_x
_atom_site_fract_y
_atom_site_fract_z
Tb1 Tb 0.0000 0.0000 0.0000
Pr1 Pr 0.0000 0.0000 0.1300
Cd1 Cd 0.0000 0.0000 0.4093
Sn1 Sn 0.0000 0.0000 0.2699
```

---

# 13
Density functional theory data (PBE) for a relaxed structure of PrThCdSn.

Structure (CIF):
```
data_PrThCdSn
_symmetry_space_group_name_H-M 'F -4 3 m'
_symmetry_Int_Tables_number 216
_symmetry_space_group_name_Hall 'F -4 2 3'
_cell_length_a 7.750
_cell_length_b 7.750
_cell_length_c 7.750
_cell_angle_alpha 90.00
_cell_angle_beta 90.00
_cell_angle_gamma 90.00
loop_
_atom_site_label
_atom_site_type_symbol
_atom_site_fract_x
_atom_site_fract_y
_atom_site_fract_z
Pr1 Pr 0.000 0.000 0.000
Th1 Th 0.000 0.000 0.500
Cd1 Cd 0.250 0.250 0.750
Sn1 Sn 0.250 0.250 0.250
```

---

# 14
Density functional theory data (PBE) for a relaxed structure of Pr2YCd2Sn2.

Structure (CIF):
```
data_Pr2YCd2Sn2
_symmetry_space_group_name_H-M 'R -3 m'
_symmetry_Int_Tables_number 166
_symmetry_space_group_name_Hall '-R 3 2"'
_cell_length_a 4.9985
_cell_length_b 4.9985
_cell_length_c 27.3860
_cell_angle_alpha 90.00
_cell_angle_beta 90.00
_cell_angle_gamma 120.00
loop_
_atom_site_label
_atom_site_type_symbol
_atom_site_fract_x
_atom_site_fract_y
_atom_site_fract_z
Pr1 Pr 0.0000 0.0000 0.1300
Y1 Y 0.0000 0.0000 0.0000
Cd1 Cd 0.0000 0.0000 0.4089
Sn1 Sn 0.0000 0.0000 0.2697
```

---

# 15
Density functional theory data (PBE) for a relaxed structure of PrYCdSn.

Structure (CIF):
```
data_PrYCdSn
_symmetry_space_group_name_H-M 'F -4 3 m'
_symmetry_Int_Tables_number 216
_symmetry_space_group_name_Hall 'F -4 2 3'
_cell_length_a 7.624
_cell_length_b 7.624
_cell_length_c 7.624
_cell_angle_alpha 90.00
_cell_angle_beta 90.00
_cell_angle_gamma 90.00
loop_
_atom_site_label
_atom_site_type_symbol
_atom_site_fract_x
_atom_site_fract_y
_atom_site_fract_z
Pr1 Pr 0.000 0.000 0.000
Y1 Y 0.000 0.000 0.500
Cd1 Cd 0.250 0.250 0.750
Sn1 Sn 0.250 0.250 0.250
```

---

# 16
Density functional theory data (PBE) for a relaxed structure of SrPr3Cd2.

Structure (CIF):
```
data_SrPr3Cd2
_symmetry_space_group_name_H-M 'P m c 21'
_symmetry_Int_Tables_number 26
_symmetry_space_group_name_Hall 'P 2c -2'
_cell_length_a 5.504
_cell_length_b 9.943
_cell_length_c 7.272
_cell_angle_alpha 90.00
_cell_angle_beta 90.00
_cell_angle_gamma 90.00
loop_
_atom_site_label
_atom_site_type_symbol
_atom_site_fract_x
_atom_site_fract_y
_atom_site_fract_z
Sr1 Sr 0.000 0.046 0.000
Pr1 Pr 0.000 0.333 0.664
Pr2 Pr 0.500 0.181 0.309
Pr3 Pr 0.500 0.452 0.971
Cd1 Cd 0.000 0.350 0.217
Cd2 Cd 0.500 0.153 0.752
```

---

# 17
Density functional theory data (PBE) for a relaxed structure of SrPr5Cd6.

Structure (CIF):
```
data_SrPr5Cd6
_symmetry_space_group_name_H-M 'I m m m'
_symmetry_Int_Tables_number 71
_symmetry_space_group_name_Hall '-I 2 2'
_cell_length_a 5.528
_cell_length_b 7.813
_cell_length_c 16.578
_cell_angle_alpha 90.00
_cell_angle_beta 90.00
_cell_angle_gamma 90.00
loop_
_atom_site_label
_atom_site_type_symbol
_atom_site_fract_x
_atom_site_fract_y
_atom_site_fract_z
Sr1 Sr 0.000 0.000 0.000
Pr1 Pr 0.000 0.000 0.331
Pr2 Pr 0.000 0.500 0.000
Pr3 Pr 0.000 0.500 0.337
Cd1 Cd 0.000 0.237 0.500
Cd2 Cd 0.000 0.256 0.170
```

---

# 18
Density functional theory data (PBE) for a relaxed structure of SrPr3Cd4.

Structure (CIF):
```
data_SrPr3Cd4
_symmetry_space_group_name_H-M 'P 4/m m m'
_symmetry_Int_Tables_number 123
_symmetry_space_group_name_Hall '-P 4 2'
_cell_length_a 5.525
_cell_length_b 5.525
_cell_length_c 7.901
_cell_angle_alpha 90.00
_cell_angle_beta 90.00
_cell_angle_gamma 90.00
loop_
_atom_site_label
_atom_site_type_symbol
_atom_site_fract_x
_atom_site_fract_y
_atom_site_fract_z
Sr1 Sr 0.000 0.000 0.000
Pr1 Pr 0.000 0.000 0.500
Pr2 Pr 0.500 0.500 0.000
Pr3 Pr 0.500 0.500 0.500
Cd1 Cd 0.000 0.500 0.257
```

---

# 19
Density functional theory data (PBE) for a relaxed structure of Sr2PrCd4.

Structure (CIF):
```
data_Sr2PrCd4
_symmetry_space_group_name_H-M 'I 4/m m m'
_symmetry_Int_Tables_number 139
_symmetry_space_group_name_Hall '-I 4 2'
_cell_length_a 5.706
_cell_length_b 5.706
_cell_length_c 14.388
_cell_angle_alpha 90.00
_cell_angle_beta 90.00
_cell_angle_gamma 90.00
loop_
_atom_site_label
_atom_site_type_symbol
_atom_site_fract_x
_atom_site_fract_y
_atom_site_fract_z
Sr1 Sr 0.000 0.000 0.234
Pr1 Pr 0.000 0.000 0.500
Cd1 Cd 0.000 0.500 0.109
```

---

# 20
Density functional theory data (PBE) for a relaxed structure of Sr2Pr3Cd2.

Structure (CIF):
```
data_Sr2Pr3Cd2
_symmetry_space_group_name_H-M 'C m m m'
_symmetry_Int_Tables_number 65
_symmetry_space_group_name_Hall '-C 2 2'
_cell_length_a 3.941
_cell_length_b 33.245
_cell_length_c 3.871
_cell_angle_alpha 90.00
_cell_angle_beta 90.00
_cell_angle_gamma 90.00
loop_
_atom_site_label
_atom_site_type_symbol
_atom_site_fract_x
_atom_site_fract_y
_atom_site_fract_z
Sr1 Sr 0.000 0.194 0.000
Pr1 Pr 0.000 0.074 0.000
Pr2 Pr 0.000 0.500 0.500
Cd1 Cd 0.000 0.370 0.500
```

---

# 21
Density functional theory data (PBE) for a relaxed structure of SrPrCd6.

Structure (CIF):
```
data_SrPrCd6
_symmetry_space_group_name_H-M 'A m m 2'
_symmetry_Int_Tables_number 38
_symmetry_space_group_name_Hall 'A 2 -2'
_cell_length_a 5.062
_cell_length_b 7.136
_cell_length_c 11.746
_cell_angle_alpha 90.00
_cell_angle_beta 90.00
_cell_angle_gamma 90.00
loop_
_atom_site_label
_atom_site_type_symbol
_atom_site_fract_x
_atom_site_fract_y
_atom_site_fract_z
Sr1 Sr 0.000 0.000 0.000
Pr1 Pr 0.500 0.000 0.696
Cd1 Cd 0.000 0.000 0.516
Cd2 Cd 0.000 0.223 0.262
Cd3 Cd 0.500 0.000 0.190
Cd4 Cd 0.500 0.215 0.431
```

---

# 22
Density functional theory data (PBE) for a relaxed structure of SrPr5Cd4.

Structure (CIF):
```
data_SrPr5Cd4
_symmetry_space_group_name_H-M 'P 4/m m m'
_symmetry_Int_Tables_number 123
_symmetry_space_group_name_Hall '-P 4 2'
_cell_length_a 3.927
_cell_length_b 3.927
_cell_length_c 20.934
_cell_angle_alpha 90.00
_cell_angle_beta 90.00
_cell_angle_gamma 90.00
loop_
_atom_site_label
_atom_site_type_symbol
_atom_site_fract_x
_atom_site_fract_y
_atom_site_fract_z
Sr1 Sr 0.000 0.000 0.000
Pr1 Pr 0.500 0.500 0.140
Pr2 Pr 0.500 0.500 0.318
Pr3 Pr 0.500 0.500 0.500
Cd1 Cd 0.000 0.000 0.226
Cd2 Cd 0.000 0.000 0.409
```

---

# 23
Density functional theory data (PBE) for a relaxed structure of SrPr2Cd3.

Structure (CIF):
```
data_SrPr2Cd3
_symmetry_space_group_name_H-M 'P 4/m m m'
_symmetry_Int_Tables_number 123
_symmetry_space_group_name_Hall '-P 4 2'
_cell_length_a 3.914
_cell_length_b 3.914
_cell_length_c 11.979
_cell_angle_alpha 90.00
_cell_angle_beta 90.00
_cell_angle_gamma 90.00
loop_
_atom_site_label
_atom_site_type_symbol
_atom_site_fract_x
_atom_site_fract_y
_atom_site_fract_z
Sr1 Sr 0.000 0.000 0.000
Pr1 Pr 0.000 0.000 0.340
Cd1 Cd 0.500 0.500 0.183
Cd2 Cd 0.500 0.500 0.500
```

---

no.,energy (eV for the cell shown)
1,-129.5
2,-84.2
3,-127.9
4,-147.0
5,-9.4
6,-35.5
7,-37.2
8,-12.4
9,-182.6
10,-70.8
11,-65.6
12,-78.8
13,-74.2
14,-84.4
15,-73.1
16,-37.7
17,-69.7
18,-22.2
19,-26.1
20,-41.2
21,-28.3
22,-31.4
23,-15.9